No. 1
PBE FeCuPd5, relaxed; distance to the lowest polymorph of the same formula = 34 meV/atom; E_form = 0.042 eV/atom; DOS at the Fermi energy = 0.79 states/eV/atom; magnetic moment = 4.6 μB per formula unit; symmetry = Cmcm; VASP energy = -5.462 eV per atom
1.0
4.523 0.267 0.002
0.746 4.469 0.002
-0.005 -0.004 10.758
Pd Fe Cu
10 2 2
Direct
0.944 0.056 0.750
0.152 0.437 0.389
0.437 0.152 0.611
0.563 0.848 0.389
0.152 0.437 0.111
0.563 0.848 0.111
0.848 0.563 0.889
0.437 0.152 0.889
0.056 0.944 0.250
0.848 0.563 0.611
0.000 0.000 0.500
0.000 0.000 0.000
0.374 0.626 0.750
0.626 0.374 0.250



No. 2
PBE Fe2Cu2Pd7, relaxed; distance to the lowest polymorph of the same formula = 0 meV/atom; E_form = -0.033 eV/atom; DOS at the Fermi energy = 0.81 states/eV/atom; magnetic moment = 8.1 μB per formula unit; symmetry = C2/m; VASP energy = -5.621 eV per atom
1.0
6.630 -0.073 -0.105
-0.661 4.920 0.545
-0.661 -1.217 4.798
Fe Pd Cu
2 7 2
Direct
0.500 0.319 0.681
0.500 0.681 0.319
0.000 0.000 0.000
0.800 0.460 0.080
0.586 0.841 0.841
0.200 0.920 0.540
0.200 0.540 0.920
0.414 0.159 0.159
0.800 0.080 0.460
0.149 0.400 0.400
0.851 0.600 0.600



No. 3
PBE FeCu2Pd8, relaxed; distance to the lowest polymorph of the same formula = 284 meV/atom; E_form = 0.203 eV/atom; DOS at the Fermi energy = 1.06 states/eV/atom; magnetic moment = 5.1 μB per formula unit; symmetry = C2/m; VASP energy = -5.088 eV per atom
1.0
4.689 0.492 0.374
0.775 6.619 0.866
0.775 2.617 6.141
Pd Cu Fe
8 2 1
Direct
0.785 0.634 0.234
0.923 0.222 0.222
0.077 0.778 0.778
0.338 0.349 0.349
0.215 0.366 0.766
0.662 0.651 0.651
0.785 0.234 0.634
0.215 0.766 0.366
0.503 0.882 0.882
0.497 0.118 0.118
0.000 0.000 0.000



No. 4
PBE FeCu5Pd8, relaxed; E_form = 0.080 eV/atom; DOS at the Fermi energy = 0.32 states/eV/atom; magnetic moment = 4.6 μB per formula unit; symmetry = I-4; VASP energy = -4.955 eV per atom
1.0
-2.459 -3.029 5.167
1.679 -4.369 -4.473
5.221 3.389 1.781
Cu Fe Pd
5 1 8
Direct
0.500 0.000 0.500
0.368 0.122 0.997
0.003 0.371 0.125
0.875 0.878 0.246
0.754 0.629 0.632
0.250 0.500 0.750
0.626 0.411 0.878
0.122 0.747 0.533
0.467 0.589 0.215
0.965 0.093 0.710
0.128 0.745 0.035
0.617 0.907 0.872
0.785 0.253 0.374
0.290 0.255 0.383



No. 5
PBE FeCu2Pd5, relaxed; distance to the lowest polymorph of the same formula = 35 meV/atom; E_form = -0.008 eV/atom; DOS at the Fermi energy = 0.60 states/eV/atom; magnetic moment = 4.4 μB per formula unit; symmetry = I4/mcm; VASP energy = -5.336 eV per atom
1.0
-0.335 0.536 -6.434
3.665 -5.288 -0.631
-6.267 -0.810 3.507
Pd Cu Fe
10 4 2
Direct
0.498 0.686 0.685
0.814 0.002 0.315
0.000 0.000 0.000
0.500 0.500 0.000
0.314 0.814 0.315
0.186 0.998 0.685
0.998 0.498 0.685
0.002 0.502 0.315
0.686 0.186 0.685
0.502 0.314 0.315
0.636 0.136 0.000
0.136 0.364 0.000
0.864 0.636 0.000
0.364 0.864 0.000
0.750 0.750 0.500
0.250 0.250 0.500



No. 6
PBE FeCu3Pd7, relaxed; E_form = 0.157 eV/atom; DOS at the Fermi energy = 0.82 states/eV/atom; magnetic moment = 4.7 μB per formula unit; symmetry = C2/m; VASP energy = -5.034 eV per atom
1.0
4.683 -0.129 -0.165
-2.349 6.120 0.402
-2.349 -1.093 6.035
Fe Pd Cu
1 7 3
Direct
0.500 0.500 0.500
0.763 0.816 0.816
0.332 0.597 0.064
0.237 0.184 0.184
0.668 0.403 0.936
0.668 0.936 0.403
0.000 0.500 0.500
0.332 0.064 0.597
0.000 0.227 0.773
0.000 0.773 0.227
0.500 0.000 0.000



No. 7
PBE Fe2CuPd4, relaxed; distance to the lowest polymorph of the same formula = 0 meV/atom; E_form = -0.019 eV/atom; DOS at the Fermi energy = 0.74 states/eV/atom; magnetic moment = 7.2 μB per formula unit; symmetry = P1; VASP energy = -5.989 eV per atom
1.0
-4.915 2.810 -3.609
2.312 -3.175 -2.810
-4.455 -4.118 2.637
Fe Pd Cu
4 8 2
Direct
0.583 0.511 0.250
0.599 0.318 0.602
0.585 0.021 0.249
0.157 0.317 0.732
0.822 0.286 0.959
0.388 0.120 0.936
0.026 0.757 0.777
0.242 0.134 0.375
0.237 0.594 0.113
0.592 0.701 0.889
0.788 0.927 0.543
0.944 0.451 0.387
0.366 0.733 0.539
0.922 0.882 0.148



No. 8
PBE FeCu5Pd2, relaxed; E_form = -0.049 eV/atom; DOS at the Fermi energy = 0.48 states/eV/atom; magnetic moment = 3.4 μB per formula unit; symmetry = Pbam; VASP energy = -4.965 eV per atom
1.0
-1.339 0.904 3.369
-3.900 -3.469 -0.620
5.971 -7.496 4.384
Pd Cu Fe
4 10 2
Direct
0.500 0.244 0.623
0.500 0.744 0.877
0.500 0.756 0.377
0.500 0.256 0.123
0.000 0.996 0.750
0.000 0.004 0.250
0.000 0.504 0.250
0.000 0.496 0.750
0.500 0.745 0.627
0.000 0.000 0.000
0.000 0.500 0.500
0.500 0.255 0.373
0.500 0.755 0.127
0.500 0.245 0.873
0.000 0.500 0.000
0.000 0.000 0.500



No. 9
PBE Fe2CuPd2, relaxed; distance to the lowest polymorph of the same formula = 127 meV/atom; E_form = 0.184 eV/atom; DOS at the Fermi energy = 0.73 states/eV/atom; magnetic moment = 6.4 μB per formula unit; symmetry = P4/mbm; VASP energy = -6.098 eV per atom
1.0
7.306 0.000 0.000
0.000 7.306 0.000
0.000 0.000 2.723
Fe Pd Cu
4 4 2
Direct
0.115 0.385 0.000
0.385 0.885 0.000
0.885 0.615 0.000
0.615 0.115 0.000
0.320 0.180 0.500
0.680 0.820 0.500
0.820 0.320 0.500
0.180 0.680 0.500
0.500 0.500 0.000
0.000 0.000 0.000



No. 10
PBE Fe2CuPd4, relaxed; distance to the lowest polymorph of the same formula = 91 meV/atom; E_form = 0.072 eV/atom; DOS at the Fermi energy = 0.72 states/eV/atom; magnetic moment = 8.3 μB per formula unit; symmetry = I4/mmm; VASP energy = -5.898 eV per atom
1.0
-6.722 -0.631 -0.871
-3.276 -3.823 1.446
-3.984 1.532 3.036
Pd Fe Cu
4 2 1
Direct
0.500 0.000 0.500
0.000 0.500 0.000
0.000 0.000 0.500
0.500 0.500 0.000
0.500 0.500 0.500
0.000 0.500 0.500
0.000 0.000 0.000



No. 11
PBE FeCu12Pd4, relaxed; E_form = 0.689 eV/atom; DOS at the Fermi energy = 0.60 states/eV/atom; magnetic moment = 3.1 μB per formula unit; symmetry = Im-3; VASP energy = -3.922 eV per atom
1.0
6.745 0.000 -2.385
-3.373 5.843 -2.386
0.001 0.000 7.156
Cu Pd Fe
12 4 1
Direct
0.642 0.785 0.143
0.358 0.500 0.143
0.642 0.500 0.857
0.215 0.857 0.358
0.143 0.358 0.500
0.500 0.143 0.358
0.785 0.143 0.642
0.857 0.358 0.215
0.143 0.642 0.785
0.358 0.215 0.857
0.500 0.857 0.642
0.857 0.642 0.500
0.500 0.000 0.000
0.000 0.500 0.000
0.500 0.500 0.500
0.000 0.000 0.500
0.000 0.000 0.000



No. 12
PBE FeCu2Pd8, relaxed; distance to the lowest polymorph of the same formula = 0 meV/atom; E_form = -0.081 eV/atom; DOS at the Fermi energy = 0.97 states/eV/atom; magnetic moment = 5.2 μB per formula unit; symmetry = C2/m; VASP energy = -5.372 eV per atom
1.0
-3.146 -2.201 -0.835
0.135 -2.355 5.697
-2.454 6.738 0.727
Pd Cu Fe
8 2 1
Direct
0.595 0.453 0.190
0.046 0.732 0.091
0.862 0.812 0.723
0.138 0.188 0.277
0.319 0.086 0.639
0.405 0.547 0.810
0.954 0.268 0.909
0.681 0.914 0.361
0.227 0.636 0.454
0.773 0.364 0.546
0.500 0.000 0.000